Entry 1:
First-principles (PBE) data for a geometry-optimized ScNbCo structure, as listed in OQMD via LeMat-Bulk.

DFT formation energy: 0.115 eV/atom
Space group: F-43m, No. 216

Cell: 4.238 4.238 4.238 Å, 60.00 60.00 60.00°
Positions (direct):
Co 0.000 0.000 0.000
Nb 0.250 0.250 0.250
Sc 0.750 0.750 0.750

---

Entry 2:
First-principles (PBE) data for a geometry-optimized ScNb2Co structure, as listed in OQMD via LeMat-Bulk.

DFT formation energy: 0.099 eV/atom
Space group: F-43m, No. 216

Cell: 4.551 4.551 4.551 Å, 60.00 60.00 60.00°
Last column: magnetic moment on the atom in μB.
Positions (direct):
Co 0.500 0.500 0.500  0.50
Nb 0.000 0.000 0.000  0.23
Nb 0.750 0.750 0.750  -0.04
Sc 0.250 0.250 0.250  -0.01

---

Entry 3:
First-principles (PBE) data for a geometry-optimized ScNbCo2 structure, as listed in OQMD via LeMat-Bulk.

DFT formation energy: 0.106 eV/atom
Space group: F-43m, No. 216

Cell: 4.329 4.329 4.329 Å, 60.00 60.00 60.00°
Last column: magnetic moment on the atom in μB.
Positions (direct):
Co 0.000 0.000 0.000  1.20
Co 0.750 0.750 0.750  0.92
Nb 0.500 0.500 0.500  -0.16
Sc 0.250 0.250 0.250  -0.13

---

Entry 4:
First-principles (PBE) data for a geometry-optimized ScNbCoSi structure, as listed in OQMD via LeMat-Bulk.

Space group: F-43m, No. 216
Uncorrected energy: -7.304 eV/atom

Cell: 4.385 4.385 4.385 Å, 60.00 60.00 60.00°
Last column: magnetic moment on the atom in μB.
Positions (direct):
Co 0.750 0.750 0.750  0.56
Nb 0.250 0.250 0.250  1.67
Sc 0.500 0.500 0.500  0.36
Si 0.000 0.000 0.000  -0.03